[1]
Entry from the Alexandria database: a relaxed structure of Tl3CdCl6 (PBE).

Summary:
For the energy relative to the elements, uncorrected, the calculation gives -0.9226 eV/atom. The value obtained for the total moment is 0.00 μB/atom. As for the total energy: -2.83 eV per atom.

```
Tl3CdCl6
1.0
-1.446 7.089 0.919
-9.340 -2.112 1.601
3.739 -0.398 8.951
Tl Cd Cl
6 2 12
Direct
0.474 0.921 0.717 Tl
0.974 0.717 0.921 Tl
0.389 0.415 0.585 Tl
0.889 0.585 0.415 Tl
0.974 0.079 0.283 Tl
0.474 0.283 0.079 Tl
0.027 0.206 0.794 Cd
0.527 0.794 0.206 Cd
0.178 0.672 0.610 Cl
0.678 0.610 0.672 Cl
0.214 0.430 0.872 Cl
0.714 0.872 0.430 Cl
0.144 0.049 0.951 Cl
0.694 0.222 0.778 Cl
0.194 0.778 0.222 Cl
0.644 0.951 0.049 Cl
0.214 0.128 0.570 Cl
0.714 0.570 0.128 Cl
0.178 0.390 0.328 Cl
0.678 0.328 0.390 Cl
```

***

[2]
Entry from the Alexandria database: a relaxed structure of TlCdCl2 (PBE).

Summary:
For the energy relative to the elements, uncorrected, the calculation gives -0.6295 eV/atom. The value obtained for the total moment is 0.00 μB/atom. As for the total energy: -2.37 eV per atom.

```
TlCdCl2
1.0
-4.736 -2.648 -1.061
2.566 -3.162 -3.739
0.883 0.471 5.437
Tl Cl Cd
1 2 1
Direct
0.750 0.250 0.500 Tl
0.033 0.033 0.000 Cl
0.467 0.467 0.000 Cl
0.250 0.750 0.500 Cd
```

***

[3]
Entry from the Alexandria database: a relaxed structure of Tl3Cd5Cl12 (PBE).

Summary:
For the energy relative to the elements, uncorrected, the calculation gives -0.9945 eV/atom. The value obtained for the total moment is 0.00 μB/atom. As for the total energy: -2.69 eV per atom.

```
Tl3Cd5Cl12
1.0
14.808 0.000 0.000
-4.936 13.961 0.000
-4.936 -6.980 12.090
Tl Cd Cl
12 20 48
Direct
0.750 0.375 0.125 Tl
0.875 0.750 0.125 Tl
0.375 0.750 0.625 Tl
0.250 0.125 0.375 Tl
0.875 0.125 0.250 Tl
0.375 0.625 0.250 Tl
0.625 0.375 0.750 Tl
0.125 0.875 0.750 Tl
0.750 0.875 0.625 Tl
0.625 0.250 0.375 Tl
0.125 0.250 0.875 Tl
0.250 0.625 0.875 Tl
0.125 0.375 0.250 Cd
0.000 0.500 0.000 Cd
0.000 0.000 0.000 Cd
0.375 0.250 0.125 Cd
0.500 0.000 0.500 Cd
0.500 0.500 0.000 Cd
0.125 0.750 0.375 Cd
0.750 0.125 0.875 Cd
0.750 0.625 0.375 Cd
0.375 0.125 0.750 Cd
0.625 0.875 0.250 Cd
0.500 0.500 0.500 Cd
0.500 0.000 0.000 Cd
0.000 0.000 0.500 Cd
0.250 0.375 0.625 Cd
0.250 0.875 0.125 Cd
0.000 0.500 0.500 Cd
0.875 0.250 0.625 Cd
0.625 0.750 0.875 Cd
0.875 0.625 0.750 Cd
0.700 0.115 0.022 Cl
0.321 0.522 0.407 Cl
0.978 0.385 0.300 Cl
0.522 0.200 0.115 Cl
0.586 0.700 0.679 Cl
0.978 0.593 0.179 Cl
0.321 0.800 0.414 Cl
0.093 0.914 0.115 Cl
0.593 0.978 0.679 Cl
0.700 0.586 0.179 Cl
0.800 0.478 0.385 Cl
0.821 0.907 0.022 Cl
0.115 0.700 0.522 Cl
0.385 0.407 0.086 Cl
0.086 0.907 0.385 Cl
0.414 0.115 0.593 Cl
0.086 0.179 0.200 Cl
0.478 0.679 0.093 Cl
0.821 0.914 0.300 Cl
0.115 0.414 0.093 Cl
0.385 0.978 0.800 Cl
0.593 0.615 0.414 Cl
0.907 0.821 0.522 Cl
0.800 0.321 0.914 Cl
0.407 0.385 0.586 Cl
0.093 0.179 0.478 Cl
0.200 0.679 0.086 Cl
0.179 0.086 0.700 Cl
0.615 0.022 0.200 Cl
0.885 0.586 0.907 Cl
0.522 0.321 0.907 Cl
0.586 0.885 0.407 Cl
0.914 0.821 0.800 Cl
0.914 0.093 0.615 Cl
0.885 0.300 0.478 Cl
0.179 0.093 0.978 Cl
0.615 0.593 0.914 Cl
0.407 0.022 0.321 Cl
0.300 0.414 0.821 Cl
0.200 0.522 0.615 Cl
0.907 0.086 0.885 Cl
0.679 0.200 0.586 Cl
0.478 0.800 0.885 Cl
0.022 0.407 0.821 Cl
0.414 0.300 0.321 Cl
0.022 0.615 0.700 Cl
0.679 0.478 0.593 Cl
0.300 0.885 0.978 Cl
```